[1]
This record from the Alexandria database describes crystalline Pm3Sc4Sb4 at its relaxed geometry. The functional is PBE-GGA.

```
data_Pm3Sc4Sb4
_chemical_formula_sum 'Pm6 Sc8 Sb8'
_cell_length_a 4.232
_cell_length_b 8.972
_cell_length_c 15.609
_cell_angle_alpha 90.00
_cell_angle_beta 90.00
_cell_angle_gamma 90.00
_space_group_name_H-M_alt 'I m m m'
_space_group_IT_number 71
_space_group_name_Hall '-I 2 2'
loop_
_atom_site_label
_atom_site_type_symbol
_atom_site_fract_x
_atom_site_fract_y
_atom_site_fract_z
Pm1 Pm 0.000 0.000 0.000
Pm2 Pm 0.000 0.500 0.112
Sc1 Sc 0.000 0.301 0.323
Sb1 Sb 0.000 0.000 0.232
Sb2 Sb 0.000 0.214 0.500
```

Results
N(E_F), states/eV per cell: 20.077
Uncorrected formation energy, eV/atom: -0.845
Electronic total energy, eV/atom: -5.9417
Magnetization, μB per atom: 0.000

***

[2]
This record from the Alexandria database describes crystalline Pm2ScSb at its relaxed geometry. The functional is PBE-GGA.

```
data_Pm2ScSb
_chemical_formula_sum 'Pm2 Sc1 Sb1'
_cell_length_a 4.757
_cell_length_b 4.757
_cell_length_c 4.798
_cell_angle_alpha 90.00
_cell_angle_beta 90.00
_cell_angle_gamma 90.00
_space_group_name_H-M_alt 'P 4/m m m'
_space_group_IT_number 123
_space_group_name_Hall '-P 4 2'
loop_
_atom_site_label
_atom_site_type_symbol
_atom_site_fract_x
_atom_site_fract_y
_atom_site_fract_z
Pm1 Pm 0.000 0.500 0.000
Sc1 Sc 0.000 0.000 0.500
Sb1 Sb 0.500 0.500 0.500
```

Results
N(E_F), states/eV per cell: 4.206
Excess energy over the best structure of this formula in the dataset, eV per formula unit: 0.08
Uncorrected formation energy, eV/atom: -0.497
Electronic total energy, eV/atom: -5.4857
Magnetization, μB per atom: 0.000

***

[3]
This record from the Alexandria database describes crystalline Pm2SmScSb4 at its relaxed geometry. The functional is PBE-GGA.

```
data_Pm2SmScSb4
_chemical_formula_sum 'Pm2 Sm1 Sc1 Sb4'
_cell_length_a 7.636
_cell_length_b 4.417
_cell_length_c 7.640
_cell_angle_alpha 90.00
_cell_angle_beta 109.52
_cell_angle_gamma 90.00
_space_group_name_H-M_alt 'P 1 2/m 1'
_space_group_IT_number 10
loop_
_space_group_symop_operation_xyz
'x,y,z'
'-x,-y,-z'
'-x,y,-z'
'x,-y,z'
loop_
_atom_site_label
_atom_site_type_symbol
_atom_site_fract_x
_atom_site_fract_y
_atom_site_fract_z
Pm1 Pm 0.000 0.000 0.000
Pm2 Pm 0.000 0.500 0.500
Sm1 Sm 0.500 0.000 0.500
Sc1 Sc 0.500 0.500 0.000
Sb1 Sb 0.258 0.500 0.244
Sb2 Sb 0.265 0.000 0.764
```

Results
N(E_F), states/eV per cell: 1.152
Uncorrected formation energy, eV/atom: -1.099
Electronic total energy, eV/atom: -5.7296
Magnetization, μB per atom: 0.000

***

[4]
This record from the Alexandria database describes crystalline PmSm2ScSb4 at its relaxed geometry. The functional is PBE-GGA.

```
data_PmSm2ScSb4
_chemical_formula_sum 'Pm1 Sm2 Sc1 Sb4'
_cell_length_a 7.628
_cell_length_b 4.412
_cell_length_c 7.632
_cell_angle_alpha 90.00
_cell_angle_beta 109.51
_cell_angle_gamma 90.00
_space_group_name_H-M_alt 'P 1 2/m 1'
_space_group_IT_number 10
loop_
_space_group_symop_operation_xyz
'x,y,z'
'-x,-y,-z'
'-x,y,-z'
'x,-y,z'
loop_
_atom_site_label
_atom_site_type_symbol
_atom_site_fract_x
_atom_site_fract_y
_atom_site_fract_z
Pm1 Pm 0.000 0.000 0.000
Sm1 Sm 0.000 0.500 0.500
Sm2 Sm 0.500 0.000 0.500
Sc1 Sc 0.500 0.500 0.000
Sb1 Sb 0.258 0.500 0.244
Sb2 Sb 0.264 0.000 0.763
```

Results
N(E_F), states/eV per cell: 1.149
Uncorrected formation energy, eV/atom: -1.095
Electronic total energy, eV/atom: -5.7217
Magnetization, μB per atom: 0.000

***

[5]
This record from the Alexandria database describes crystalline PmScSnSb at its relaxed geometry. The functional is PBE-GGA.

```
data_PmScSnSb
_chemical_formula_sum 'Pm4 Sc4 Sn4 Sb4'
_cell_length_a 7.506
_cell_length_b 7.506
_cell_length_c 7.506
_cell_angle_alpha 90.00
_cell_angle_beta 90.00
_cell_angle_gamma 90.00
_space_group_name_H-M_alt 'F -4 3 m'
_space_group_IT_number 216
_space_group_name_Hall 'F -4 2 3'
loop_
_atom_site_label
_atom_site_type_symbol
_atom_site_fract_x
_atom_site_fract_y
_atom_site_fract_z
Pm1 Pm 0.000 0.000 0.000
Sc1 Sc 0.000 0.000 0.500
Sn1 Sn 0.250 0.250 0.250
Sb1 Sb 0.250 0.250 0.750
```

Results
N(E_F), states/eV per cell: 25.499
Uncorrected formation energy, eV/atom: -0.561
Electronic total energy, eV/atom: -5.3631
Magnetization, μB per atom: 0.000

***

[6]
This record from the Alexandria database describes crystalline PmScSbTe at its relaxed geometry. The functional is PBE-GGA.

```
data_PmScSbTe
_chemical_formula_sum 'Pm3 Sc3 Sb3 Te3'
_cell_length_a 4.3214
_cell_length_b 4.3214
_cell_length_c 21.2874
_cell_angle_alpha 90.00
_cell_angle_beta 90.00
_cell_angle_gamma 120.00
_space_group_name_H-M_alt 'R 3 m'
_space_group_IT_number 160
_space_group_name_Hall 'R 3 -2"'
loop_
_atom_site_label
_atom_site_type_symbol
_atom_site_fract_x
_atom_site_fract_y
_atom_site_fract_z
Pm1 Pm 0.0000 0.0000 0.0000
Sc1 Sc 0.0000 0.0000 0.4925
Sb1 Sb 0.0000 0.0000 0.7540
Te1 Te 0.0000 0.0000 0.2391
```

Results
N(E_F), states/eV per cell: 5.948
Uncorrected formation energy, eV/atom: -1.189
Electronic total energy, eV/atom: -5.7753
Magnetization, μB per atom: 0.000